Record 1
ThFe4P12 | the Alexandria database | PBEsol | relaxed; space group = Im-3, No. 204; total DFT energy (no corrections) = -7.451 eV/atom
1.0
6.685 0.000 0.000
-2.228 6.303 0.000
-2.228 -3.151 5.458
P Th Fe
12 1 4
Direct
0.846 0.351 0.197 P
0.846 0.649 0.496 P
0.496 0.846 0.649 P
0.351 0.504 0.154 P
0.803 0.154 0.649 P
0.154 0.649 0.803 P
0.351 0.197 0.846 P
0.197 0.846 0.351 P
0.504 0.154 0.351 P
0.649 0.803 0.154 P
0.649 0.496 0.846 P
0.154 0.351 0.504 P
0.000 0.000 0.000 Th
0.500 0.500 0.500 Fe
0.000 0.000 0.500 Fe
0.000 0.500 0.000 Fe
0.500 0.000 0.000 Fe

***

Record 2
Al2AgMo | the Alexandria database | PBEsol | relaxed; space group = Fm-3m, No. 225; offset from the most stable computed form = 0.12 eV per formula unit; total DFT energy (no corrections) = -5.789 eV/atom
1.0
4.389 0.000 0.000
2.194 3.801 0.000
2.194 1.267 3.583
Al Mo Ag
2 1 1
Direct
0.750 0.750 0.750 Al
0.250 0.250 0.250 Al
0.500 0.500 0.500 Mo
0.000 0.000 0.000 Ag

***

Record 3
ZrSiAu2 | the Alexandria database | PBEsol | relaxed; formation energy (no corrections) = -95 meV/atom; space group = R-3m, No. 166; total DFT energy (no corrections) = -5.766 eV/atom
1.0
-0.527 -2.950 -0.066
1.443 -1.736 -1.972
6.858 -2.866 5.263
Si Zr Au
1 1 2
Direct
0.500 0.500 0.500 Si
0.000 0.000 0.000 Zr
0.758 0.758 0.726 Au
0.242 0.242 0.274 Au